Entry 1:
MgRhCl4 (PBE-GGA, relaxed); formation energy (no corrections) = 0.63 eV per atom; N(E_F) = 0.9252 states/eV/atom; ρ = 3.2 Mg/m³; symmetry = F-43m (216)
1.0
5.426 -2.021 0.353
0.937 -5.611 1.139
2.068 -3.495 -4.143
Mg Rh Cl
1 1 4
direct
0.750 0.750 0.750
0.000 0.000 0.000
0.876 0.375 0.375
0.375 0.375 0.876
0.375 0.876 0.375
0.375 0.375 0.375

Entry 2:
Rb2AsAu3 (PBE-GGA, relaxed); ΔE_f = -264.7 meV/atom; N(E_F) = 0.4600 states/eV/atom; ρ = 7.3 Mg/m³; symmetry = Fmmm (69)
1.0
6.627 0.523 -2.280
-2.456 6.177 -2.280
-0.008 -0.013 9.084
Rb As Au
4 2 6
direct
0.750 0.250 0.500
0.244 0.756 0.000
0.250 0.750 0.500
0.756 0.244 0.000
0.335 0.335 0.671
0.665 0.665 0.329
0.654 0.654 0.826
0.828 0.828 0.174
0.346 0.346 0.174
0.172 0.172 0.826
0.826 0.826 0.651
0.174 0.174 0.349

Entry 3:
CeSc3Ag2 (PBE-GGA, relaxed); ΔE_f = -147.9 meV/atom; N(E_F) = 1.4268 states/eV/atom; ρ = 6.1 Mg/m³; symmetry = P4/mmm (123)
1.0
3.398 0.000 0.000
0.000 3.398 0.000
0.000 0.000 11.595
Ce Sc Ag
1 3 2
direct
0.500 0.500 0.500
0.000 0.000 0.000
0.000 0.000 0.699
0.000 0.000 0.301
0.500 0.500 0.849
0.500 0.500 0.151

Entry 4:
LiAs2W (PBE-GGA, relaxed); excess energy over the best structure of this formula in the dataset = 36 kJ/mol of formula units; ΔE_f = -97.9 meV/atom; N(E_F) = 0.5297 states/eV/atom; ρ = 7.8 Mg/m³; symmetry = Imm2 (44)
1.0
-6.849 -1.785 0.967
-4.410 -3.112 4.679
5.203 4.521 -1.876
As Li W
2 1 1
direct
0.058 0.058 0.000
0.790 0.290 0.500
0.452 0.452 0.000
0.200 0.700 0.500

Entry 5:
ScCrPb2 (PBE-GGA, relaxed); excess energy over the best structure of this formula in the dataset = 119 kJ/mol of formula units; ΔE_f = 410.2 meV/atom; N(E_F) = 1.7315 states/eV/atom; ρ = 10.1 Mg/m³; symmetry = Fm-3m (225)
1.0
-0.802 -2.192 4.330
-1.320 2.681 3.907
-4.574 -0.332 1.779
Pb Cr Sc
2 1 1
direct
0.250 0.250 0.250
0.750 0.750 0.750
0.500 0.500 0.500
0.000 0.000 0.000

Entry 6:
TbSmAl2Zn2 (PBE-GGA, relaxed); ΔE_f = -448.8 meV/atom; N(E_F) = 0.5870 states/eV/atom; ρ = 6.4 Mg/m³; symmetry = P-3m1 (164)
1.0
4.509 0.000 0.000
-2.255 3.905 0.000
0.000 0.000 7.328
Tb Sm Al Zn
1 1 2 2
direct
0.000 0.000 0.500
0.000 0.000 0.000
0.333 0.667 0.738
0.667 0.333 0.262
0.333 0.667 0.266
0.667 0.333 0.734

Entry 7:
Os2SeCl (PBE-GGA, relaxed); formation energy (no corrections) = 1.08 eV per atom; excess energy over the best structure of this formula in the dataset = 331 kJ/mol of formula units; N(E_F) = 0.9171 states/eV/atom; ρ = 12.6 Mg/m³; symmetry = P2/m (10)
1.0
4.246 0.000 0.000
0.000 2.867 -0.031
0.000 -0.873 5.369
Cl Os Se
1 2 1
direct
0.500 0.750 0.750
0.000 0.069 0.965
0.000 0.431 0.535
0.500 0.250 0.250

Entry 8:
Al3Ag4 (PBE-GGA, relaxed); excess energy over the best structure of this formula in the dataset = 24 kJ/mol of formula units; ΔE_f = -15.9 meV/atom; N(E_F) = 0.2196 states/eV/atom; ρ = 7.1 Mg/m³; symmetry = P-1 (2)
1.0
3.143 0.004 0.005
1.584 10.352 0.103
0.010 -0.723 3.653
Ag Al
4 3
direct
0.003 0.994 0.996
0.425 0.149 0.575
0.285 0.431 0.716
0.144 0.712 0.856
0.858 0.284 0.143
0.714 0.571 0.286
0.571 0.859 0.428